Below is Ba2ScPbO6 after structural relaxation, with properties calculated at the GGA-PBE level.

```
data_Ba2ScPbO6
_chemical_formula_sum 'Ba8 Sc4 Pb4 O24'
_cell_length_a 8.557
_cell_length_b 8.557
_cell_length_c 8.557
_cell_angle_alpha 90.00
_cell_angle_beta 90.00
_cell_angle_gamma 90.00
_symmetry_space_group_name_H-M 'F m -3 m'
_symmetry_Int_Tables_number 225
_symmetry_space_group_name_Hall '-F 4 2 3'
loop_
_atom_site_label
_atom_site_type_symbol
_atom_site_fract_x
_atom_site_fract_y
_atom_site_fract_z
_atom_site_occupancy
Ba1 Ba 0.250 0.250 0.250 1
Sc1 Sc 0.000 0.000 0.000 1
Pb1 Pb 0.000 0.000 0.500 1
O1 O 0.000 0.000 0.246 1
```

The magnetic moment comes out at 3.8 μB/cell. For the formation energy without anion corrections, the calculation gives -22.4 eV/f.u. The value obtained for the density of states at the Fermi level is 8.071 states/eV/f.u. The calculation puts the energy at -264.1 eV for the cell shown.

***

Below is CaLa3Hg after structural relaxation, with properties calculated at the GGA-PBE level.

```
data_CaLa3Hg
_chemical_formula_sum 'Ca1 La3 Hg1'
_cell_length_a 6.053
_cell_length_b 6.053
_cell_length_c 6.053
_cell_angle_alpha 90.00
_cell_angle_beta 90.00
_cell_angle_gamma 90.00
_symmetry_space_group_name_H-M 'P m -3 m'
_symmetry_Int_Tables_number 221
_symmetry_space_group_name_Hall '-P 4 2 3'
loop_
_atom_site_label
_atom_site_type_symbol
_atom_site_fract_x
_atom_site_fract_y
_atom_site_fract_z
_atom_site_occupancy
Ca1 Ca 0.000 0.000 0.000 1
La1 La 0.000 0.500 0.500 1
Hg1 Hg 0.500 0.500 0.500 1
```

The magnetic moment comes out at 2.1 μB/cell. Its excess energy over the best structure of this formula in the dataset is 0.000 kcal/mol of atoms. The value obtained for the density of states at the Fermi level is 10.726 states/eV/f.u. As for the formation energy: 0.8 eV per formula unit. The calculation puts the energy at -16.3 eV for the cell shown.

***

Below is NdHoI2 after structural relaxation, with properties calculated at the GGA-PBE level.

```
data_NdHoI2
_chemical_formula_sum 'Nd3 Ho3 I6'
_cell_length_a 3.9011
_cell_length_b 3.9011
_cell_length_c 32.3063
_cell_angle_alpha 90.00
_cell_angle_beta 90.00
_cell_angle_gamma 120.00
_symmetry_space_group_name_H-M 'R -3 m'
_symmetry_Int_Tables_number 166
_symmetry_space_group_name_Hall '-R 3 2"'
loop_
_atom_site_label
_atom_site_type_symbol
_atom_site_fract_x
_atom_site_fract_y
_atom_site_fract_z
_atom_site_occupancy
Nd1 Nd 0.0000 0.0000 0.0000 1
Ho1 Ho 0.0000 0.0000 0.5000 1
I1 I 0.0000 0.0000 0.4050 1
```

The magnetic moment comes out at 0.0 μB/cell. Its excess energy over the best structure of this formula in the dataset is 1.453 kcal/mol of atoms. For the formation energy without anion corrections, the calculation gives -2.8 eV/f.u. The value obtained for the density of states at the Fermi level is 2.333 states/eV/f.u. The calculation puts the energy at -45.8 eV for the cell shown.

***

Below is Pu3Mg after structural relaxation, with properties calculated at the GGA-PBE level.

```
data_Pu3Mg
_chemical_formula_sum 'Pu3 Mg1'
_cell_length_a 5.528
_cell_length_b 5.528
_cell_length_c 2.382
_cell_angle_alpha 90.00
_cell_angle_beta 90.00
_cell_angle_gamma 90.00
_symmetry_space_group_name_H-M 'P -4 m 2'
_symmetry_Int_Tables_number 115
_symmetry_space_group_name_Hall 'P -4 -2'
loop_
_atom_site_label
_atom_site_type_symbol
_atom_site_fract_x
_atom_site_fract_y
_atom_site_fract_z
_atom_site_occupancy
Pu1 Pu 0.000 0.000 0.000 1
Pu2 Pu 0.000 0.500 0.323 1
Mg1 Mg 0.500 0.500 0.000 1
```

The magnetic moment comes out at 2.1 μB/cell. Its excess energy over the best structure of this formula in the dataset is 10.986 kcal/mol of atoms. The value obtained for the density of states at the Fermi level is 10.862 states/eV/f.u. As for the formation energy: 2.9 eV per formula unit. The calculation puts the energy at -41.7 eV for the cell shown.

***

Below is LaSc2Cu after structural relaxation, with properties calculated at the GGA-PBE level.

```
data_LaSc2Cu
_chemical_formula_sum 'La1 Sc2 Cu1'
_cell_length_a 3.354
_cell_length_b 3.354
_cell_length_c 8.414
_cell_angle_alpha 90.00
_cell_angle_beta 90.00
_cell_angle_gamma 90.00
_symmetry_space_group_name_H-M 'P 4/m m m'
_symmetry_Int_Tables_number 123
_symmetry_space_group_name_Hall '-P 4 2'
loop_
_atom_site_label
_atom_site_type_symbol
_atom_site_fract_x
_atom_site_fract_y
_atom_site_fract_z
_atom_site_occupancy
La1 La 0.000 0.000 0.000 1
Sc1 Sc 0.500 0.500 0.317 1
Cu1 Cu 0.000 0.000 0.500 1
```

The magnetic moment comes out at 0.0 μB/cell. Its excess energy over the best structure of this formula in the dataset is 0.000 kcal/mol of atoms. The value obtained for the density of states at the Fermi level is 4.812 states/eV/f.u. As for the formation energy: -0.3 eV per formula unit. The calculation puts the energy at -22.0 eV for the cell shown.

***

Below is NbSnRu after structural relaxation, with properties calculated at the GGA-PBE level.

```
data_NbSnRu
_chemical_formula_sum 'Nb2 Sn2 Ru2'
_cell_length_a 3.130
_cell_length_b 3.130
_cell_length_c 10.719
_cell_angle_alpha 90.00
_cell_angle_beta 90.00
_cell_angle_gamma 90.00
_symmetry_space_group_name_H-M 'I 4 m m'
_symmetry_Int_Tables_number 107
_symmetry_space_group_name_Hall 'I 4 -2'
loop_
_atom_site_label
_atom_site_type_symbol
_atom_site_fract_x
_atom_site_fract_y
_atom_site_fract_z
_atom_site_occupancy
Nb1 Nb 0.000 0.000 0.000 1
Sn1 Sn 0.000 0.000 0.312 1
Ru1 Ru 0.000 0.000 0.653 1
```

The magnetic moment comes out at 0.0 μB/cell. The value obtained for the density of states at the Fermi level is 2.152 states/eV/f.u. As for the formation energy: -0.4 eV per formula unit. The calculation puts the energy at -47.5 eV for the cell shown.

***

Below is Tm5In2 after structural relaxation, with properties calculated at the GGA-PBE level.

```
data_Tm5In2
_chemical_formula_sum 'Tm10 In4'
_cell_length_a 9.176
_cell_length_b 5.312
_cell_length_c 8.467
_cell_angle_alpha 90.00
_cell_angle_beta 111.35
_cell_angle_gamma 90.00
_symmetry_space_group_name_H-M 'C 1 2/m 1'
_symmetry_Int_Tables_number 12
_symmetry_space_group_name_Hall '-C 2y'
loop_
_atom_site_label
_atom_site_type_symbol
_atom_site_fract_x
_atom_site_fract_y
_atom_site_fract_z
_atom_site_occupancy
Tm1 Tm 0.000 0.000 0.000 1
Tm2 Tm 0.075 0.500 0.724 1
Tm3 Tm 0.153 0.000 0.458 1
In1 In 0.217 0.500 0.150 1
```

The magnetic moment comes out at 0.0 μB/cell. Its excess energy over the best structure of this formula in the dataset is 0.000 kcal/mol of atoms. The value obtained for the density of states at the Fermi level is 5.676 states/eV/f.u. As for the formation energy: -1.9 eV per formula unit. The calculation puts the energy at -59.4 eV for the cell shown.

***

Below is Ac2LaPr after structural relaxation, with properties calculated at the GGA-PBE level.

```
data_Ac2LaPr
_chemical_formula_sum 'Ac6 La3 Pr3'
_cell_length_a 3.8892
_cell_length_b 3.8892
_cell_length_c 37.4752
_cell_angle_alpha 90.00
_cell_angle_beta 90.00
_cell_angle_gamma 120.00
_symmetry_space_group_name_H-M 'R 3 m'
_symmetry_Int_Tables_number 160
_symmetry_space_group_name_Hall 'R 3 -2"'
loop_
_atom_site_label
_atom_site_type_symbol
_atom_site_fract_x
_atom_site_fract_y
_atom_site_fract_z
_atom_site_occupancy
Ac1 Ac 0.0000 0.0000 0.0000 1
Ac2 Ac 0.0000 0.0000 0.1677 1
La1 La 0.0000 0.0000 0.4166 1
Pr1 Pr 0.0000 0.0000 0.5845 1
```

The magnetic moment comes out at 0.0 μB/cell. Its excess energy over the best structure of this formula in the dataset is 0.260 kcal/mol of atoms. The value obtained for the density of states at the Fermi level is 6.940 states/eV/f.u. As for the formation energy: 0.1 eV per formula unit. The calculation puts the energy at -53.5 eV for the cell shown.

***

Below is Dy2InHg4 after structural relaxation, with properties calculated at the GGA-PBE level.

```
data_Dy2InHg4
_chemical_formula_sum 'Dy6 In3 Hg12'
_cell_length_a 5.1028
_cell_length_b 5.1028
_cell_length_c 24.3117
_cell_angle_alpha 90.00
_cell_angle_beta 90.00
_cell_angle_gamma 120.00
_symmetry_space_group_name_H-M 'R -3 m'
_symmetry_Int_Tables_number 166
_symmetry_space_group_name_Hall '-R 3 2"'
loop_
_atom_site_label
_atom_site_type_symbol
_atom_site_fract_x
_atom_site_fract_y
_atom_site_fract_z
_atom_site_occupancy
Dy1 Dy 0.0000 0.0000 0.2430 1
In1 In 0.0000 0.0000 0.5000 1
Hg1 Hg 0.0000 0.0000 0.1106 1
Hg2 Hg 0.0000 0.0000 0.3680 1
```

The magnetic moment comes out at 0.0 μB/cell. Its excess energy over the best structure of this formula in the dataset is 0.000 kcal/mol of atoms. The value obtained for the density of states at the Fermi level is 4.382 states/eV/f.u. As for the formation energy: -2.1 eV per formula unit. The calculation puts the energy at -45.6 eV for the cell shown.

***

Below is Cr2RuAuS after structural relaxation, with properties calculated at the GGA-PBE level.

```
data_Cr2RuAuS
_chemical_formula_sum 'Cr2 Ru1 Au1 S1'
_cell_length_a 4.175
_cell_length_b 4.175
_cell_length_c 4.320
_cell_angle_alpha 90.00
_cell_angle_beta 90.00
_cell_angle_gamma 90.00
_symmetry_space_group_name_H-M 'P 4/m m m'
_symmetry_Int_Tables_number 123
_symmetry_space_group_name_Hall '-P 4 2'
loop_
_atom_site_label
_atom_site_type_symbol
_atom_site_fract_x
_atom_site_fract_y
_atom_site_fract_z
_atom_site_occupancy
Cr1 Cr 0.000 0.500 0.000 1
Ru1 Ru 0.000 0.000 0.500 1
Au1 Au 0.500 0.500 0.500 1
S1 S 0.000 0.000 0.000 1
```

The magnetic moment comes out at 0.0 μB/cell. For the formation energy without anion corrections, the calculation gives 2.1 eV/f.u. The value obtained for the density of states at the Fermi level is 4.627 states/eV/f.u. The calculation puts the energy at -33.9 eV for the cell shown.

***

Copy entry 5 word for word.
Below is LaSc2Cu after structural relaxation, with properties calculated at the GGA-PBE level.

```
data_LaSc2Cu
_chemical_formula_sum 'La1 Sc2 Cu1'
_cell_length_a 3.354
_cell_length_b 3.354
_cell_length_c 8.414
_cell_angle_alpha 90.00
_cell_angle_beta 90.00
_cell_angle_gamma 90.00
_symmetry_space_group_name_H-M 'P 4/m m m'
_symmetry_Int_Tables_number 123
_symmetry_space_group_name_Hall '-P 4 2'
loop_
_atom_site_label
_atom_site_type_symbol
_atom_site_fract_x
_atom_site_fract_y
_atom_site_fract_z
_atom_site_occupancy
La1 La 0.000 0.000 0.000 1
Sc1 Sc 0.500 0.500 0.317 1
Cu1 Cu 0.000 0.000 0.500 1
```

The magnetic moment comes out at 0.0 μB/cell. Its excess energy over the best structure of this formula in the dataset is 0.000 kcal/mol of atoms. The value obtained for the density of states at the Fermi level is 4.812 states/eV/f.u. As for the formation energy: -0.3 eV per formula unit. The calculation puts the energy at -22.0 eV for the cell shown.